Bi2Rh, optimized geometry, DFT GGA-PBE; crystal system = monoclinic; formation energy = -203 meV per atom; space-group type = P2_1/c, No. 14
1.0
6.904 0.000 0.000
0.000 6.980 -0.684
0.000 -2.607 6.560
Bi Rh
8 4
direct
0.359 0.347 0.173
0.859 0.653 0.327
0.141 0.347 0.673
0.642 0.145 0.373
0.358 0.855 0.627
0.858 0.145 0.873
0.142 0.855 0.127
0.641 0.653 0.827
0.001 0.728 0.713
0.501 0.272 0.787
0.499 0.728 0.213
0.999 0.272 0.287



Fe3BiH, optimized geometry, DFT GGA-PBE; crystal system = cubic; excess energy over the best structure of this formula in the dataset = 0.000 kcal/mol of atoms; space-group type = Pm-3m, No. 221
1.0
-2.909 2.577 -0.777
0.283 -0.845 -3.862
-2.677 -2.890 0.436
Fe Bi H
3 1 1
direct
0.000 0.000 0.500
0.500 0.000 0.000
0.000 0.500 0.000
0.500 0.500 0.500
0.000 0.000 0.000



CaCdF2, optimized geometry, DFT GGA-PBE; crystal system = trigonal; E_form (uncorrected) = -1.89 eV/atom; excess energy over the best structure of this formula in the dataset = 19.364 kcal/mol of atoms; space-group type = R-3m, No. 166
1.0
5.765 0.848 2.870
5.952 -2.555 0.485
6.258 1.216 -1.244
F Cd Ca
2 1 1
direct
0.881 0.881 0.881
0.119 0.119 0.119
0.500 0.500 0.500
0.000 0.000 0.000



CdSiRu2, optimized geometry, DFT GGA-PBE; crystal system = tetragonal; E_form (uncorrected) = -0.19 eV/atom; space-group type = P4/mmm, No. 123
1.0
-2.733 0.728 0.884
-0.803 -2.849 -0.137
1.864 -0.837 6.450
Si Ru Cd
1 2 1
direct
0.500 0.500 0.250
0.000 0.000 0.048
0.000 0.000 0.452
0.500 0.500 0.750



La3Cu2, optimized geometry, DFT GGA-PBE; crystal system = trigonal; formation energy = -75 meV per atom; excess energy over the best structure of this formula in the dataset = 0.727 kcal/mol of atoms; space-group type = R-3c, No. 167
1.0
-0.953 7.562 2.951
-6.449 1.770 4.699
-0.024 1.938 6.345
La Cu
6 4
direct
0.959 0.250 0.250
0.541 0.959 0.250
0.459 0.041 0.750
0.750 0.459 0.750
0.250 0.541 0.250
0.041 0.750 0.750
0.589 0.589 0.234
0.411 0.411 0.766
0.911 0.911 0.266
0.089 0.089 0.734



Cd7Sn2Hg, optimized geometry, DFT GGA-PBE; crystal system = orthorhombic; formation energy = 129 meV per atom; space-group type = Cmmm, No. 65
1.0
4.626 0.000 0.000
0.000 7.333 -2.762
0.000 -0.845 8.873
Sn Cd Hg
2 7 1
direct
0.500 0.702 0.405
0.500 0.298 0.595
0.000 0.810 0.620
0.500 0.500 0.000
0.500 0.289 0.199
0.500 0.091 0.801
0.500 0.909 0.199
0.000 0.190 0.380
0.500 0.711 0.801
0.000 0.000 0.000



Ba3Ga4Ge4, optimized geometry, DFT GGA-PBE; crystal system = triclinic; formation energy = -459 meV per atom; space-group type = P-1, No. 2
1.0
5.089 0.000 -0.054
0.001 4.455 0.004
2.378 2.219 12.828
Ga Ge Ba
4 4 3
direct
0.478 0.903 0.193
0.261 0.248 0.505
0.522 0.097 0.807
0.739 0.752 0.495
0.693 0.197 0.607
0.593 0.549 0.902
0.307 0.803 0.393
0.407 0.451 0.098
0.878 0.351 0.297
0.000 0.000 0.000
0.123 0.649 0.703



La2Ga3Cu12Rh, optimized geometry, DFT GGA-PBE; crystal system = trigonal; formation energy = 54 meV per atom; space-group type = R-3m, No. 166
1.0
9.614 2.031 1.441
6.514 7.356 1.441
6.514 3.792 6.467
Cu Ga La Rh
12 3 2 1
direct
0.581 0.191 0.581
0.809 0.419 0.419
0.191 0.581 0.581
0.648 0.067 0.067
0.933 0.352 0.933
0.581 0.581 0.191
0.419 0.419 0.809
0.933 0.933 0.352
0.352 0.933 0.933
0.419 0.809 0.419
0.067 0.067 0.648
0.067 0.648 0.067
0.500 0.000 0.000
0.000 0.500 0.000
0.000 0.000 0.500
0.348 0.348 0.348
0.652 0.652 0.652
0.000 0.000 0.000



Tb2Sm5ErTm, optimized geometry, DFT GGA-PBE; crystal system = orthorhombic; formation energy = 145 meV per atom; space-group type = Cmc2_1, No. 36
1.0
5.615 0.000 0.000
-2.807 10.087 0.000
0.000 0.000 10.625
Sm Tb Er Tm
10 4 2 2
direct
0.299 0.597 0.707
0.518 0.036 0.243
0.482 0.964 0.743
0.384 0.769 0.021
0.983 0.967 0.518
0.616 0.231 0.521
0.280 0.559 0.312
0.017 0.033 0.018
0.701 0.403 0.207
0.720 0.441 0.812
0.886 0.771 0.813
0.114 0.229 0.313
0.888 0.776 0.238
0.112 0.224 0.738
0.409 0.817 0.462
0.591 0.183 0.962
0.801 0.603 0.511
0.199 0.397 0.011



BeMoPt, optimized geometry, DFT GGA-PBE; crystal system = triclinic; formation energy = -276 meV per atom; excess energy over the best structure of this formula in the dataset = 2.999 kcal/mol of atoms; space-group type = P-1, No. 2
1.0
-0.204 -2.706 3.175
4.450 0.382 -1.255
1.799 1.673 4.422
Mo Be Pt
2 2 2
direct
0.408 0.499 0.737
0.333 0.990 0.553
0.996 0.955 0.212
0.745 0.534 0.078
0.074 0.447 0.353
0.666 0.042 0.938



Ca4ZrPd5, optimized geometry, DFT GGA-PBE; crystal system = tetragonal; formation energy = -667 meV per atom; space-group type = P4/mmm, No. 123
1.0
3.478 0.000 0.000
0.000 3.478 0.000
0.000 0.000 17.827
Ca Pd Zr
4 5 1
direct
0.000 0.000 0.199
0.000 0.000 0.601
0.000 0.000 0.801
0.000 0.000 0.399
0.500 0.500 0.500
0.500 0.500 0.299
0.500 0.500 0.081
0.500 0.500 0.919
0.500 0.500 0.701
0.000 0.000 0.000



CeHoNiIr, optimized geometry, DFT GGA-PBE; crystal system = cubic; formation energy = -553 meV per atom; excess energy over the best structure of this formula in the dataset = 1.754 kcal/mol of atoms; space-group type = F-43m, No. 216
1.0
4.859 0.000 0.000
2.429 4.208 0.000
2.429 1.403 3.967
Ho Ni Ir Ce
1 1 1 1
direct
0.000 0.000 0.000
0.250 0.250 0.250
0.750 0.750 0.750
0.500 0.500 0.500



PrY2Ga9, optimized geometry, DFT GGA-PBE; crystal system = tetragonal; formation energy = -524 meV per atom; space-group type = P4/mmm, No. 123
1.0
-2.810 1.469 -2.945
0.936 -3.355 -2.567
-9.461 -6.908 5.580
Ga Y Pr
9 2 1
direct
0.500 0.500 0.000
0.500 0.500 0.666
0.000 0.500 0.828
0.500 0.000 0.828
0.000 0.500 0.172
0.000 0.500 0.500
0.500 0.500 0.334
0.500 0.000 0.500
0.500 0.000 0.172
0.000 0.000 0.337
0.000 0.000 0.663
0.000 0.000 0.000



YAl3V, optimized geometry, DFT GGA-PBE; crystal system = cubic; formation energy = 1503 meV per atom; excess energy over the best structure of this formula in the dataset = 32.856 kcal/mol of atoms; space-group type = Pm-3m, No. 221
1.0
-2.079 -0.541 -4.871
4.890 -0.575 -2.024
-0.320 -5.265 0.721
V Al Y
1 3 1
direct
0.500 0.500 0.500
0.000 0.500 0.000
0.500 0.000 0.000
0.000 0.000 0.500
0.000 0.000 0.000



K2Sb2Ir, optimized geometry, DFT GGA-PBE; crystal system = tetragonal; E_form (uncorrected) = -0.27 eV/atom; space-group type = P4/mbm, No. 127
1.0
-2.259 5.100 4.118
-5.896 -3.484 1.080
2.438 -2.681 4.658
K Sb Ir
4 4 2
direct
0.823 0.323 0.500
0.677 0.823 0.500
0.177 0.677 0.500
0.323 0.177 0.500
0.647 0.147 0.000
0.147 0.353 0.000
0.853 0.647 0.000
0.353 0.853 0.000
0.000 0.000 0.000
0.500 0.500 0.000



Mn2VIn, optimized geometry, DFT GGA-PBE; crystal system = tetragonal; formation energy = 790 meV per atom; space-group type = I-42d, No. 122
1.0
-3.697 -0.560 0.836
-0.392 -2.131 -3.160
0.039 -8.390 3.330
Mn V In
4 2 2
direct
0.527 0.125 0.250
0.375 0.473 0.750
0.875 0.777 0.750
0.223 0.625 0.250
0.250 0.750 0.500
0.500 0.500 0.000
0.750 0.250 0.500
0.000 0.000 0.000



NdSm3Dy2, optimized geometry, DFT GGA-PBE; crystal system = monoclinic; formation energy = 11 meV per atom; excess energy over the best structure of this formula in the dataset = 0.000 kcal/mol of atoms; space-group type = C2/c, No. 15
1.0
7.213 0.001 -0.003
-3.605 4.451 -2.486
-0.001 0.833 11.934
Sm Dy Nd
6 4 2
direct
0.041 0.333 0.083
0.375 0.000 0.750
0.292 0.333 0.583
0.959 0.667 0.917
0.625 0.000 0.250
0.708 0.667 0.417
0.791 0.332 0.583
0.541 0.332 0.083
0.459 0.668 0.917
0.209 0.668 0.417
0.125 0.000 0.250
0.875 0.000 0.750